[1]
The following is a DFT calculation (PBE-GGA) of PmPr6Al after structural relaxation.

Cell lengths 5.034, 5.034, 10.411 Å; angles 90.00, 90.00, 90.00 degrees
Space group P4/mmm (No. 123)
Symmetry-distinct sites (fractional):
Pm: 0.000 0.000 0.000
Pr: 0.000 0.500 0.263
Pr: 0.500 0.500 0.000
Pr: 0.500 0.500 0.500
Al: 0.000 0.000 0.500

***

[2]
The following is a DFT calculation (PBE-GGA) of CaNpBr5 after structural relaxation.

Cell lengths 11.546, 10.032, 11.366 Å; angles 90.00, 117.43, 90.00 degrees
Space group C2/c (No. 15)
Symmetry-distinct sites (fractional):
Ca: 0.000 0.078 0.250
Np: 0.250 0.250 0.000
Br: 0.000 0.223 0.750
Br: 0.104 0.274 0.145
Br: 0.224 0.034 0.500

Calculated values
**Formation energy from raw total energies**: -1551 meV per atom

***

In the order shown, the computed VASP energy values come out to -4.702; -4.880 eV per atom.
In the order shown, the computed calculated density values come out to 6.40; 3.85 g/cm³.